[1]
Computed, not measured: Tl2AsPb after structural relaxation at the GGA-PBE level of DFT.

total DFT energy (no corrections)	-3.161	eV per atom
E above lowest polymorph	84.7	meV/atom

a = 5.4573 Å, b = 5.4573 Å, c = 5.4573 Å
α = 60.00°, β = 60.00°, γ = 60.00°
With the nearest neighbours (Å) after each atom.
Fractional positions:
Tl  0.0000  0.0000  0.0000  4 Pb 3.34, 4 Tl 3.34
Tl  0.2500  0.2500  0.2500  4 As 3.34, 4 Tl 3.34
As  0.5000  0.5000  0.5000  4 Tl 3.34, 4 Pb 3.34
Pb  0.7500  0.7500  0.7500  4 As 3.34, 4 Tl 3.34



[2]
Computed, not measured: Tl6As2Pb after structural relaxation at the GGA-PBE level of DFT.

total DFT energy (no corrections)	-2.982	eV per atom

a = 6.4594 Å, b = 6.4594 Å, c = 11.5286 Å
α = 109.65°, β = 109.65°, γ = 35.83°
With the nearest neighbours (Å) after each atom.
Fractional positions:
Tl  0.0204  0.0204  0.3209  2 As 3.08, 3 Tl 3.44
Tl  0.3063  0.3063  0.1232  2 As 3.17, 5 Tl 3.34-3.44, 1 Pb 3.52
Tl  0.3195  0.3195  0.4176  2 As 3.25, 6 Tl 3.34-3.57
Tl  0.6805  0.6805  0.5824  2 As 3.25, 6 Tl 3.34-3.57
Tl  0.6937  0.6937  0.8768  2 As 3.17, 5 Tl 3.34-3.44, 1 Pb 3.52
Tl  0.9796  0.9796  0.6791  2 As 3.08, 3 Tl 3.44
As  0.3514  0.3514  0.7902  6 Tl 3.08-3.25, 2 Pb 3.16
As  0.6486  0.6486  0.2098  6 Tl 3.08-3.25, 2 Pb 3.16
Pb  0.0000  0.0000  0.0000  4 As 3.16, 2 Tl 3.52



[3]
Computed, not measured: TlAs2Pb after structural relaxation at the GGA-PBE level of DFT.

total DFT energy (no corrections)	-3.782	eV per atom
E above lowest polymorph	26.4	meV/atom

a = 6.3824 Å, b = 6.3824 Å, c = 5.2799 Å
α = 107.81°, β = 107.81°, γ = 32.89°
With the nearest neighbours (Å) after each atom.
Fractional positions:
Tl  0.0000  0.0000  0.0000  7 As 3.25-3.62, 1 Pb 3.50, 2 Tl 3.61
As  0.2296  0.2296  0.8190  2 As 2.57
As  0.5906  0.5906  0.5562  2 As 2.57
Pb  0.7911  0.7911  0.3661  5 As 2.93-3.28



[4]
Computed, not measured: Tl2AsPb after structural relaxation at the GGA-PBE level of DFT.

total DFT energy (no corrections)	-3.197	eV per atom
E above lowest polymorph	49.1	meV/atom

a = 4.6243 Å, b = 4.6243 Å, c = 5.3168 Å
α = 90.00°, β = 90.00°, γ = 90.00°
With the nearest neighbours (Å) after each atom.
Fractional positions:
Tl  0.0000  0.5000  0.0000  4 Tl 3.27, 4 Pb 3.52, 4 As 3.52
Tl  0.5000  0.0000  0.0000  4 Tl 3.27, 4 Pb 3.52, 4 As 3.52
As  0.0000  0.0000  0.5000  4 Pb 3.27, 8 Tl 3.52
Pb  0.5000  0.5000  0.5000  4 As 3.27, 8 Tl 3.52



Question: The lowest total DFT energy (no corrections) belongs to which entry?
Answer: TlAs2Pb



Question: Among the records above, which one has the highest total DFT energy (no corrections)?
Answer: Tl6As2Pb